Computed, not measured: a relaxed structure of Te2AuBr at the PBE level of DFT.

abc: 5.2658 6.9550 8.5746
angles: 76.73 59.49 70.43
Closest atoms and distances in Å follow each position.
Positions (direct):
Au  0.5646  0.2122  0.5576  4 Te 2.72-2.75
Te  0.8458  0.9389  0.7416  1 Au 2.72, 1 Te 2.83
Br  0.1918  0.9373  0.0803  1 Au 2.55
Te  0.6672  0.5086  0.6675  1 Au 2.75, 1 Te 2.85
Te  0.4360  0.9291  0.4486  2 Au 2.75-2.79, 1 Te 2.83
Au  0.2236  0.2069  0.2228  2 Br 2.55-2.70, 2 Te 2.64-2.79
Br  0.0185  0.5016  0.0157  1 Au 2.70
Te  0.2713  0.4728  0.3756  2 Au 2.64-2.72, 1 Te 2.85

Space group   No. 1
Formation energy from raw total energies   -0.1400 eV per atom